A plane-wave DFT calculation with PBE was carried out for AlMoRu after structural relaxation.

```
data_AlMoRu
_space_group_name_H-M_alt 'I 4 m m'
_space_group_IT_number 107
_space_group_name_Hall 'I 4 -2'
_cell_length_a 2.9696
_cell_length_b 2.9696
_cell_length_c 9.8282
_cell_angle_alpha 90.00
_cell_angle_beta 90.00
_cell_angle_gamma 90.00
loop_
_atom_site_label
_atom_site_fract_x
_atom_site_fract_y
_atom_site_fract_z
_atom_site_occupancy
Al1 0.0000 0.0000 0.0000 1
Mo1 0.0000 0.0000 0.3218 1
Ru1 0.0000 0.0000 0.6559 1
```

Results
Calculated total energy ... -25.02 eV per formula unit
Theoretical density ... 8583 kg/m³
ΔH_f (0 K) ... -0.3886 eV per atom
M_tot ... 0.00 μB/cell
Volume ... 43 Å³/f.u.